(1)
The following is a DFT calculation (PBEsol) of a geometry-optimized B10H13 structure.

a = 10.3993 Å, b = 10.3529 Å, c = 14.3518 Å
α = 90.00°, β = 90.00°, γ = 90.00°
Sites, in units of the cell vectors:
H 0.7998 0.2589 0.8143
H 0.5057 0.0618 0.2083
H 0.7783 0.0380 0.2542
H 0.1764 0.5966 0.6609
H 0.2998 0.2411 0.8143
H 0.1930 0.6269 0.5274
H 0.9305 0.5126 0.4283
H 0.1817 0.8247 0.4301
H 0.4305 0.9874 0.4282
H 0.6141 0.1733 0.8720
H 0.1141 0.8267 0.6280
H 0.1842 0.7709 0.0512
H 0.9305 0.0126 0.0717
H 0.1930 0.1269 0.9726
H 0.2366 0.5394 0.9149
H 0.7217 0.0380 0.7542
H 0.4943 0.4382 0.7083
H 0.7634 0.4606 0.0851
H 0.2217 0.4620 0.7542
H 0.4484 0.2551 0.0483
H 0.3070 0.1269 0.4726
H 0.0917 0.6807 0.2916
H 0.0695 0.9874 0.9283
H 0.6764 0.4034 0.8391
H 0.8183 0.1753 0.5699
H 0.3236 0.5966 0.1609
H 0.6141 0.6733 0.6280
H 0.4083 0.6807 0.7916
H 0.0695 0.4874 0.5717
H 0.6930 0.3731 0.9726
H 0.6764 0.9034 0.6609
H 0.4086 0.8907 0.6402
H 0.8070 0.3731 0.4726
H 0.5914 0.6093 0.1402
H 0.9484 0.7449 0.4517
H 0.4943 0.9382 0.7917
H 0.1817 0.3247 0.0699
H 0.5914 0.1093 0.3598
H 0.7366 0.9606 0.9149
H 0.2002 0.7411 0.1857
H 0.3158 0.7709 0.5511
H 0.9942 0.5618 0.7917
H 0.8859 0.1733 0.3720
H 0.9086 0.6093 0.6402
H 0.0516 0.7551 0.9517
H 0.0058 0.9382 0.2917
H 0.0058 0.4382 0.2083
H 0.2217 0.9620 0.7458
H 0.8158 0.2291 0.9488
H 0.3183 0.8247 0.9301
H 0.3859 0.8267 0.1280
H 0.2634 0.0394 0.0851
H 0.8236 0.9034 0.1609
H 0.7002 0.2589 0.3143
H 0.2998 0.7411 0.6857
H 0.8859 0.6733 0.1280
H 0.3859 0.3267 0.3720
H 0.8070 0.8731 0.0274
H 0.8236 0.4034 0.3391
H 0.3070 0.6269 0.0274
H 0.3158 0.2709 0.9489
H 0.2002 0.2411 0.3143
H 0.0914 0.8907 0.1402
H 0.9083 0.8193 0.7916
H 0.5695 0.0126 0.5718
H 0.8183 0.6753 0.9301
H 0.4484 0.7551 0.4517
H 0.7783 0.5380 0.2458
H 0.2783 0.4620 0.2542
H 0.8158 0.7291 0.5512
H 0.0914 0.3907 0.3598
H 0.4083 0.1807 0.7084
H 0.6930 0.8731 0.5274
H 0.9086 0.1093 0.8598
H 0.9083 0.3193 0.7084
H 0.3183 0.3247 0.5699
H 0.7217 0.5380 0.7458
H 0.9484 0.2449 0.0483
H 0.6842 0.7291 0.0511
H 0.7366 0.4606 0.5851
H 0.3236 0.0966 0.3391
H 0.6817 0.6753 0.4301
H 0.5516 0.2449 0.5483
H 0.7634 0.9606 0.4149
H 0.2783 0.9620 0.2458
H 0.6817 0.1753 0.0699
H 0.1842 0.2709 0.4488
H 0.1141 0.3267 0.8720
H 0.7002 0.7589 0.1857
H 0.5917 0.3193 0.2084
H 0.0917 0.1807 0.2084
H 0.9942 0.0618 0.7083
H 0.6842 0.2291 0.4489
H 0.0516 0.2551 0.5483
H 0.7998 0.7589 0.6857
H 0.1764 0.0966 0.8391
H 0.5516 0.7449 0.9517
H 0.5695 0.5126 0.9282
H 0.2634 0.5394 0.4149
H 0.5917 0.8193 0.2916
H 0.4086 0.3907 0.8598
H 0.4305 0.4874 0.0718
H 0.5057 0.5618 0.2917
H 0.2366 0.0394 0.5851
B 0.5006 0.1532 0.8814
B 0.6128 0.3452 0.2883
B 0.7325 0.9856 0.1876
B 0.1774 0.5239 0.5831
B 0.1808 0.9392 0.4175
B 0.7325 0.4856 0.3124
B 0.9994 0.1532 0.3814
B 0.5896 0.8033 0.0184
B 0.5527 0.9659 0.0383
B 0.8192 0.5608 0.9175
B 0.2085 0.0577 0.5052
B 0.3192 0.9392 0.9175
B 0.1128 0.1548 0.2883
B 0.3226 0.0239 0.4169
B 0.0689 0.5086 0.1601
B 0.3872 0.1548 0.7883
B 0.9104 0.3033 0.9816
B 0.5896 0.3033 0.4816
B 0.4312 0.5086 0.6601
B 0.1073 0.2782 0.3739
B 0.1808 0.4392 0.0825
B 0.9311 0.4914 0.8399
B 0.9473 0.4659 0.9617
B 0.6808 0.0608 0.0825
B 0.2325 0.5144 0.1876
B 0.7675 0.9856 0.6876
B 0.8226 0.4761 0.4169
B 0.6073 0.7218 0.1261
B 0.3192 0.4392 0.5825
B 0.6128 0.8452 0.2117
B 0.8226 0.9761 0.0831
B 0.4312 0.0086 0.8399
B 0.4473 0.0341 0.9617
B 0.3872 0.6548 0.7117
B 0.6808 0.5608 0.4175
B 0.8927 0.2218 0.8739
B 0.2915 0.0577 0.0052
B 0.6073 0.2218 0.3739
B 0.7085 0.4423 0.5052
B 0.0006 0.3468 0.8814
B 0.8872 0.3452 0.7883
B 0.2085 0.5577 0.9948
B 0.2675 0.0144 0.8124
B 0.9311 0.9914 0.6601
B 0.7085 0.9423 0.9948
B 0.4104 0.6967 0.5184
B 0.4104 0.1967 0.9816
B 0.3226 0.5239 0.0831
B 0.8872 0.8452 0.7117
B 0.2915 0.5577 0.4948
B 0.1073 0.7782 0.1261
B 0.4473 0.5341 0.5383
B 0.8927 0.7218 0.6261
B 0.1774 0.0239 0.9169
B 0.4994 0.3468 0.3814
B 0.6774 0.9761 0.5831
B 0.5006 0.6532 0.6186
B 0.0689 0.0086 0.3399
B 0.1128 0.6548 0.2117
B 0.0527 0.5341 0.0383
B 0.9473 0.9659 0.5383
B 0.7915 0.9423 0.4948
B 0.7675 0.4856 0.8124
B 0.0527 0.0341 0.4617
B 0.0896 0.1967 0.4816
B 0.2675 0.5144 0.6876
B 0.5688 0.9914 0.1601
B 0.5527 0.4659 0.4617
B 0.8192 0.0608 0.5825
B 0.3927 0.7782 0.6261
B 0.5688 0.4914 0.3399
B 0.4994 0.8468 0.1186
B 0.2325 0.0144 0.3124
B 0.9994 0.6532 0.1186
B 0.0006 0.8468 0.6186
B 0.9104 0.8033 0.5184
B 0.6774 0.4761 0.9169
B 0.0896 0.6967 0.0184
B 0.3927 0.2782 0.8739
B 0.7915 0.4423 0.0052

=====

(2)
The following is a DFT calculation (PBEsol) of a geometry-optimized B3H5 structure.

a = 6.7592 Å, b = 10.7256 Å, c = 11.2212 Å
α = 109.07°, β = 90.00°, γ = 90.00°
Sites, in units of the cell vectors:
H 0.8217 0.6943 0.0744
H 0.1218 0.6619 0.5759
H 0.6455 0.7269 0.6851
H 0.9888 0.0962 0.4428
H 0.8782 0.3381 0.4241
H 0.2361 0.4147 0.6324
H 0.5816 0.6119 0.2331
H 0.3175 0.9307 0.7874
H 0.5085 0.3561 0.5850
H 0.4864 0.7915 0.5736
H 0.8632 0.5643 0.5206
H 0.6825 0.0693 0.2126
H 0.7639 0.5853 0.3676
H 0.1365 0.1452 0.2324
H 0.0806 0.5187 0.8670
H 0.8879 0.0588 0.0756
H 0.8545 0.2269 0.1851
H 0.0136 0.2915 0.0736
H 0.2639 0.9147 0.1324
H 0.3879 0.4412 0.4244
H 0.7334 0.9032 0.3593
H 0.0100 0.6629 0.3169
H 0.4915 0.6439 0.4150
H 0.2666 0.0968 0.6407
H 0.1121 0.9412 0.9244
H 0.6365 0.3548 0.2676
H 0.0085 0.1439 0.9150
H 0.6368 0.0643 0.0206
H 0.1368 0.4357 0.4794
H 0.6218 0.8381 0.9241
H 0.8175 0.5693 0.7126
H 0.6121 0.5588 0.5756
H 0.3632 0.9357 0.9794
H 0.1825 0.4307 0.2874
H 0.0112 0.9038 0.5572
H 0.4194 0.0187 0.3670
H 0.1783 0.3057 0.9256
H 0.3635 0.6452 0.7324
H 0.0816 0.8881 0.2669
H 0.4184 0.3881 0.7669
H 0.7361 0.0853 0.8676
H 0.3545 0.2731 0.3149
H 0.7666 0.4032 0.8593
H 0.3217 0.8057 0.4256
H 0.9900 0.3371 0.6831
H 0.1455 0.7731 0.8149
H 0.9194 0.4813 0.1330
H 0.2334 0.5968 0.1407
H 0.6783 0.1943 0.5744
H 0.5112 0.5962 0.9428
H 0.8635 0.8548 0.7676
H 0.9184 0.1119 0.7331
H 0.4900 0.1629 0.8169
H 0.5100 0.8371 0.1831
H 0.5136 0.2085 0.4264
H 0.3782 0.1619 0.0759
H 0.5806 0.9813 0.6330
H 0.9864 0.7085 0.9264
H 0.9915 0.8561 0.0850
H 0.4888 0.4038 0.0572
B 0.1175 0.3099 0.6048
B 0.1340 0.8347 0.1606
B 0.8625 0.3724 0.0764
B 0.7011 0.2891 0.1670
B 0.9835 0.7232 0.0493
B 0.5165 0.2232 0.5493
B 0.3825 0.8099 0.1048
B 0.2861 0.1748 0.5859
B 0.3625 0.1277 0.4236
B 0.6375 0.8724 0.5764
B 0.7989 0.7891 0.6670
B 0.2139 0.6748 0.0859
B 0.7414 0.1133 0.1333
B 0.2586 0.8867 0.8667
B 0.7586 0.6133 0.6333
B 0.6340 0.6653 0.3394
B 0.7139 0.8252 0.4141
B 0.1375 0.6276 0.9236
B 0.1197 0.1763 0.4657
B 0.2414 0.3867 0.3667
B 0.9508 0.6764 0.5545
B 0.0165 0.2768 0.9507
B 0.6175 0.1901 0.8952
B 0.2989 0.7109 0.8330
B 0.4508 0.8236 0.9455
B 0.4835 0.7768 0.4507
B 0.3660 0.3347 0.6606
B 0.0492 0.3236 0.4455
B 0.7861 0.3252 0.9141
B 0.5492 0.1764 0.0545
B 0.3803 0.6763 0.9657
B 0.8803 0.8237 0.5343
B 0.8825 0.6901 0.3952
B 0.2011 0.2109 0.3330
B 0.8660 0.1653 0.8394
B 0.6197 0.3237 0.0343

Summary:
Energy above the lowest structure with this stoichiometry in meV per atom: 0

=====

(3)
The following is a DFT calculation (PBEsol) of a geometry-optimized B3H5 structure.

a = 5.7723 Å, b = 5.7723 Å, c = 8.2785 Å
α = 90.00°, β = 90.00°, γ = 99.97°
Sites, in units of the cell vectors:
H 0.2391 0.1215 0.1834
H 0.3587 0.8978 0.0522
H 0.8978 0.3587 0.5522
H 0.8785 0.7609 0.1834
H 0.4012 0.9211 0.7038
H 0.3361 0.6639 0.4362
H 0.1022 0.6413 0.0522
H 0.5683 0.4317 0.5735
H 0.8011 0.7617 0.4267
H 0.4317 0.5683 0.0735
H 0.2383 0.1989 0.4267
H 0.7617 0.8011 0.9267
H 0.6639 0.3361 0.9362
H 0.9211 0.4012 0.2038
H 0.7609 0.8785 0.6834
H 0.5988 0.0789 0.2038
H 0.1215 0.2391 0.6834
H 0.6413 0.1022 0.5522
H 0.1989 0.2383 0.9267
H 0.0789 0.5988 0.7038
B 0.6014 0.0202 0.7075
B 0.0202 0.6014 0.2075
B 0.6941 0.3059 0.6265
B 0.8216 0.9569 0.8318
B 0.3986 0.9798 0.2075
B 0.1784 0.0431 0.3318
B 0.3059 0.6941 0.1265
B 0.0431 0.1784 0.8318
B 0.2471 0.7529 0.3270
B 0.9569 0.8216 0.3318
B 0.7529 0.2471 0.8270
B 0.9798 0.3986 0.7075

Summary:
Energy above the lowest structure with this stoichiometry in meV per atom: 33

=====

(4)
The following is a DFT calculation (PBEsol) of a geometry-optimized B5H11 structure.

a = 6.6576 Å, b = 8.0205 Å, c = 9.7214 Å
α = 90.00°, β = 93.26°, γ = 90.00°
Sites, in units of the cell vectors:
B 0.3732 0.7130 0.8846
B 0.1219 0.1622 0.7950
B 0.8740 0.1067 0.8303
B 0.4753 0.4579 0.1807
B 0.7086 0.1042 0.6867
B 0.6219 0.3378 0.2950
B 0.5247 0.5421 0.8193
B 0.1260 0.8933 0.1697
B 0.2914 0.8958 0.3133
B 0.6268 0.2870 0.1154
B 0.7914 0.6042 0.8133
B 0.0247 0.9579 0.3193
B 0.8732 0.7870 0.3846
B 0.3740 0.3933 0.3303
B 0.1268 0.2130 0.6154
B 0.9753 0.0421 0.6807
B 0.3781 0.6622 0.7050
B 0.6260 0.6067 0.6697
B 0.8781 0.8378 0.2050
B 0.2086 0.3958 0.1867
H 0.2184 0.6672 0.9303
H 0.5083 0.7386 0.6273
H 0.1447 0.9845 0.0741
H 0.6701 0.1997 0.2349
H 0.7124 0.1980 0.8039
H 0.9771 0.0997 0.3391
H 0.4534 0.8339 0.9395
H 0.5466 0.1661 0.0605
H 0.2397 0.6115 0.6329
H 0.5821 0.9990 0.7003
H 0.2603 0.1115 0.8671
H 0.6690 0.2146 0.6055
H 0.4771 0.4003 0.8391
H 0.9179 0.4990 0.7997
H 0.1701 0.3003 0.7349
H 0.2816 0.1672 0.5697
H 0.4430 0.3682 0.0730
H 0.0466 0.3339 0.5605
H 0.7397 0.8885 0.1329
H 0.7816 0.3328 0.0697
H 0.9917 0.2386 0.8727
H 0.5229 0.5997 0.1609
H 0.9430 0.1318 0.5730
H 0.9534 0.6661 0.4395
H 0.2876 0.8020 0.1961
H 0.7603 0.3885 0.3671
H 0.3310 0.7854 0.3945
H 0.0821 0.5010 0.2003
H 0.0083 0.7614 0.1273
H 0.3553 0.4845 0.4259
H 0.4179 0.0010 0.2997
H 0.7184 0.8328 0.4303
H 0.2124 0.3020 0.3039
H 0.8310 0.7146 0.8945
H 0.0570 0.8682 0.4270
H 0.3299 0.8003 0.7651
H 0.8553 0.0155 0.9259
H 0.8299 0.6997 0.2651
H 0.7876 0.6980 0.6961
H 0.5570 0.6318 0.9270
H 0.6447 0.5155 0.5741
H 0.0229 0.9003 0.6609
H 0.1690 0.2854 0.1055
H 0.4917 0.2614 0.3727

=====

Results for density: 1.0 1.0 0.9 0.8 (in Mg/m³, following the order of the records).
Results for energy: -915.86 -454.50 -150.43 -286.24 (in eV for the cell shown, following the order of the records).